[1]
The following is a DFT calculation (PBE) of a relaxed Ni7Pd2Pt2 crystal.

Properties
magnetization: 0.5647 μB per atom
formation energy: 0.0746 eV per atom

Geometry as CIF:
```
data_Ni7Pd2Pt2
_cell_length_a 4.395
_cell_length_b 4.461
_cell_length_c 7.543
_cell_angle_alpha 91.41
_cell_angle_beta 93.79
_cell_angle_gamma 102.48
_symmetry_space_group_name_H-M 'P -1'
_symmetry_Int_Tables_number 2
loop_
_symmetry_equiv_pos_as_xyz
'x,y,z'
'-x,-y,-z'
loop_
_atom_site_label
_atom_site_fract_x
_atom_site_fract_y
_atom_site_fract_z
Ni1 0.000 0.000 0.000
Ni2 0.115 0.778 0.524
Ni3 0.423 0.311 0.614
Ni4 0.477 0.745 0.056
Pd1 0.041 0.484 0.813
Pt1 0.356 0.139 0.278
```

=====

[2]
The following is a DFT calculation (PBE) of a relaxed Ni2Pd2Pt15 crystal.

Properties
magnetization: 0.1416 μB per atom
formation energy: 0.2152 eV per atom

Geometry as CIF:
```
data_Ni2Pd2Pt15
_cell_length_a 9.0719
_cell_length_b 9.0719
_cell_length_c 13.5503
_cell_angle_alpha 90.00
_cell_angle_beta 90.00
_cell_angle_gamma 120.00
_symmetry_space_group_name_H-M 'R -3 m'
_symmetry_Int_Tables_number 166
_symmetry_space_group_name_Hall '-R 3 2"'
loop_
_atom_site_label
_atom_site_fract_x
_atom_site_fract_y
_atom_site_fract_z
Ni1 0.0000 0.0000 0.0918
Pd1 0.0000 0.0000 0.2876
Pt1 0.0000 0.3304 0.0000
Pt2 0.0000 0.5000 0.5000
Pt3 0.0008 0.5004 0.1656
```

=====

[3]
The following is a DFT calculation (PBE) of a relaxed Ni2Pd5Pt4 crystal.

Properties
magnetization: 0.4105 μB per atom
formation energy: 0.0192 eV per atom

Geometry as CIF:
```
data_Ni2Pd5Pt4
_cell_length_a 6.954
_cell_length_b 2.729
_cell_length_c 8.764
_cell_angle_alpha 90.00
_cell_angle_beta 94.50
_cell_angle_gamma 90.00
_symmetry_space_group_name_H-M 'P 1 2/m 1'
_symmetry_Int_Tables_number 10
loop_
_symmetry_equiv_pos_as_xyz
'x,y,z'
'-x,-y,-z'
'-x,y,-z'
'x,-y,z'
loop_
_atom_site_label
_atom_site_fract_x
_atom_site_fract_y
_atom_site_fract_z
Ni1 0.068 0.000 0.132
Pd1 0.175 0.000 0.654
Pd2 0.444 0.000 0.185
Pd3 0.500 0.000 0.500
Pt1 0.182 0.500 0.376
Pt2 0.253 0.500 0.933
```

=====

[4]
The following is a DFT calculation (PBE) of a relaxed Ni3PdPt3 crystal.

Properties
magnetization: 0.4964 μB per atom
formation energy: -0.0397 eV per atom

Geometry as CIF:
```
data_Ni3PdPt3
_cell_length_a 7.1296
_cell_length_b 7.1296
_cell_length_c 13.1462
_cell_angle_alpha 90.00
_cell_angle_beta 90.00
_cell_angle_gamma 120.00
_symmetry_space_group_name_H-M 'R -3'
_symmetry_Int_Tables_number 148
_symmetry_space_group_name_Hall '-R 3'
loop_
_atom_site_label
_atom_site_fract_x
_atom_site_fract_y
_atom_site_fract_z
Ni1 0.0454 0.2310 0.4200
Pd1 0.0000 0.0000 0.2581
Pt1 0.0361 0.2431 0.9162
```

=====

[5]
The following is a DFT calculation (PBE) of a relaxed NiPdPt2 crystal.

Properties
magnetization: 0.0326 μB per atom
formation energy: 0.2976 eV per atom

Geometry as CIF:
```
data_NiPdPt2
_cell_length_a 6.965
_cell_length_b 6.965
_cell_length_c 5.215
_cell_angle_alpha 90.00
_cell_angle_beta 90.00
_cell_angle_gamma 90.00
_symmetry_space_group_name_H-M 'I -4 2 d'
_symmetry_Int_Tables_number 122
_symmetry_space_group_name_Hall 'I -4 2bw'
loop_
_atom_site_label
_atom_site_fract_x
_atom_site_fract_y
_atom_site_fract_z
Ni1 0.000 0.000 0.000
Pd1 0.000 0.000 0.500
Pt1 0.223 0.750 0.125
```

=====

[6]
The following is a DFT calculation (PBE) of a relaxed NiPd12Pt3 crystal.

Properties
magnetization: 0.2909 μB per atom
formation energy: -0.0044 eV per atom

Geometry as CIF:
```
data_NiPd12Pt3
_cell_length_a 3.938
_cell_length_b 3.938
_cell_length_c 15.727
_cell_angle_alpha 90.00
_cell_angle_beta 90.00
_cell_angle_gamma 90.00
_symmetry_space_group_name_H-M 'P 4/m m m'
_symmetry_Int_Tables_number 123
_symmetry_space_group_name_Hall '-P 4 2'
loop_
_atom_site_label
_atom_site_fract_x
_atom_site_fract_y
_atom_site_fract_z
Ni1 0.000 0.000 0.000
Pd1 0.000 0.500 0.120
Pd2 0.000 0.500 0.373
Pd3 0.500 0.500 0.000
Pd4 0.500 0.500 0.246
Pd5 0.500 0.500 0.500
Pt1 0.000 0.000 0.247
Pt2 0.000 0.000 0.500
```

=====

[7]
The following is a DFT calculation (PBE) of a relaxed Ni2Pd2Pt3 crystal.

Properties
magnetization: 0.2808 μB per atom
formation energy: 0.0688 eV per atom

Geometry as CIF:
```
data_Ni2Pd2Pt3
_cell_length_a 10.932
_cell_length_b 2.719
_cell_length_c 7.879
_cell_angle_alpha 90.00
_cell_angle_beta 117.65
_cell_angle_gamma 90.00
_symmetry_space_group_name_H-M 'C 1 2/m 1'
_symmetry_Int_Tables_number 12
loop_
_symmetry_equiv_pos_as_xyz
'x,y,z'
'-x,-y,-z'
'-x,y,-z'
'x,-y,z'
'x+1/2,y+1/2,z'
'-x+1/2,-y+1/2,-z'
'-x+1/2,y+1/2,-z'
'x+1/2,-y+1/2,z'
loop_
_atom_site_label
_atom_site_fract_x
_atom_site_fract_y
_atom_site_fract_z
Ni1 0.153 0.000 0.389
Pd1 0.232 0.000 0.783
Pt1 0.000 0.500 0.500
Pt2 0.046 0.500 0.874
```

=====

[8]
The following is a DFT calculation (PBE) of a relaxed NiPd7Pt4 crystal.

Properties
magnetization: 0.1116 μB per atom
formation energy: 0.3157 eV per atom

Geometry as CIF:
```
data_NiPd7Pt4
_cell_length_a 10.386
_cell_length_b 4.646
_cell_length_c 9.441
_cell_angle_alpha 90.00
_cell_angle_beta 118.31
_cell_angle_gamma 90.00
_symmetry_space_group_name_H-M 'C 1 2/m 1'
_symmetry_Int_Tables_number 12
loop_
_symmetry_equiv_pos_as_xyz
'x,y,z'
'-x,-y,-z'
'-x,y,-z'
'x,-y,z'
'x+1/2,y+1/2,z'
'-x+1/2,-y+1/2,-z'
'-x+1/2,y+1/2,-z'
'x+1/2,-y+1/2,z'
loop_
_atom_site_label
_atom_site_fract_x
_atom_site_fract_y
_atom_site_fract_z
Ni1 0.000 0.000 0.000
Pd1 0.000 0.500 0.000
Pd2 0.075 0.000 0.314
Pd3 0.138 0.500 0.527
Pd4 0.203 0.000 0.927
Pt1 0.083 0.500 0.770
Pt2 0.232 0.500 0.311
```

=====

[9]
The following is a DFT calculation (PBE) of a relaxed Ni8Pd2Pt crystal.

Properties
magnetization: 0.5875 μB per atom
formation energy: 0.1741 eV per atom

Geometry as CIF:
```
data_Ni8Pd2Pt
_cell_length_a 6.621
_cell_length_b 12.649
_cell_length_c 4.385
_cell_angle_alpha 90.00
_cell_angle_beta 130.55
_cell_angle_gamma 90.00
_symmetry_space_group_name_H-M 'C 1 2/m 1'
_symmetry_Int_Tables_number 12
loop_
_symmetry_equiv_pos_as_xyz
'x,y,z'
'-x,-y,-z'
'-x,y,-z'
'x,-y,z'
'x+1/2,y+1/2,z'
'-x+1/2,-y+1/2,-z'
'-x+1/2,y+1/2,-z'
'x+1/2,-y+1/2,z'
loop_
_atom_site_label
_atom_site_fract_x
_atom_site_fract_y
_atom_site_fract_z
Ni1 0.000 0.201 0.000
Ni2 0.004 0.500 0.258
Ni3 0.233 0.129 0.739
Pd1 0.000 0.314 0.500
Pt1 0.000 0.000 0.000
```

=====

[10]
The following is a DFT calculation (PBE) of a relaxed NiPdPt2 crystal.

Properties
magnetization: 0.4235 μB per atom
formation energy: -0.0478 eV per atom

Geometry as CIF:
```
data_NiPdPt2
_cell_length_a 2.7625
_cell_length_b 2.7625
_cell_length_c 17.7352
_cell_angle_alpha 90.00
_cell_angle_beta 90.00
_cell_angle_gamma 120.00
_symmetry_space_group_name_H-M 'P 63/m m c'
_symmetry_Int_Tables_number 194
_symmetry_space_group_name_Hall '-P 6c 2c'
loop_
_atom_site_label
_atom_site_fract_x
_atom_site_fract_y
_atom_site_fract_z
Ni1 0.0000 0.0000 0.0000
Pd1 0.3333 0.6667 0.2500
Pt1 0.3333 0.6667 0.6166
```

=====

[11]
The following is a DFT calculation (PBE) of a relaxed NiPd2Pt4 crystal.

Properties
magnetization: 0.2283 μB per atom
formation energy: 0.8685 eV per atom

Geometry as CIF:
```
data_NiPd2Pt4
_cell_length_a 4.588
_cell_length_b 4.588
_cell_length_c 12.632
_cell_angle_alpha 90.00
_cell_angle_beta 90.00
_cell_angle_gamma 90.00
_symmetry_space_group_name_H-M 'I 4/m m m'
_symmetry_Int_Tables_number 139
_symmetry_space_group_name_Hall '-I 4 2'
loop_
_atom_site_label
_atom_site_fract_x
_atom_site_fract_y
_atom_site_fract_z
Ni1 0.000 0.000 0.000
Pd1 0.000 0.000 0.388
Pt1 0.000 0.000 0.187
Pt2 0.000 0.500 0.000
```

=====

[12]
The following is a DFT calculation (PBE) of a relaxed Ni3Pd2Pt3 crystal.

Properties
magnetization: 0.4292 μB per atom
formation energy: -0.0301 eV per atom

Geometry as CIF:
```
data_Ni3Pd2Pt3
_cell_length_a 3.758
_cell_length_b 3.872
_cell_length_c 7.700
_cell_angle_alpha 90.00
_cell_angle_beta 90.00
_cell_angle_gamma 90.00
_symmetry_space_group_name_H-M 'P m m m'
_symmetry_Int_Tables_number 47
loop_
_symmetry_equiv_pos_as_xyz
'x,y,z'
'-x,-y,-z'
'-x,-y,z'
'x,y,-z'
'x,-y,-z'
'-x,y,z'
'-x,y,-z'
'x,-y,z'
loop_
_atom_site_label
_atom_site_fract_x
_atom_site_fract_y
_atom_site_fract_z
Ni1 0.000 0.000 0.000
Ni2 0.000 0.500 0.245
Pd1 0.500 0.000 0.241
Pt1 0.000 0.000 0.500
Pt2 0.500 0.500 0.000
Pt3 0.500 0.500 0.500
```

=====

[13]
The following is a DFT calculation (PBE) of a relaxed NiPdPt5 crystal.

Properties
magnetization: 0.2014 μB per atom
formation energy: 0.0762 eV per atom

Geometry as CIF:
```
data_NiPdPt5
_cell_length_a 3.896
_cell_length_b 3.896
_cell_length_c 7.301
_cell_angle_alpha 90.00
_cell_angle_beta 90.00
_cell_angle_gamma 90.00
_symmetry_space_group_name_H-M 'P 4/m m m'
_symmetry_Int_Tables_number 123
_symmetry_space_group_name_Hall '-P 4 2'
loop_
_atom_site_label
_atom_site_fract_x
_atom_site_fract_y
_atom_site_fract_z
Ni1 0.000 0.000 0.000
Pd1 0.000 0.000 0.500
Pt1 0.000 0.500 0.219
Pt2 0.500 0.500 0.500
```

=====

[14]
The following is a DFT calculation (PBE) of a relaxed NiPdPt5 crystal.

Properties
magnetization: 0.1199 μB per atom
formation energy: 0.7926 eV per atom

Geometry as CIF:
```
data_NiPdPt5
_cell_length_a 5.208
_cell_length_b 8.761
_cell_length_c 7.199
_cell_angle_alpha 90.00
_cell_angle_beta 90.00
_cell_angle_gamma 90.00
_symmetry_space_group_name_H-M 'I m m 2'
_symmetry_Int_Tables_number 44
loop_
_symmetry_equiv_pos_as_xyz
'x,y,z'
'-x,-y,z'
'-x,y,z'
'x,-y,z'
'x+1/2,y+1/2,z+1/2'
'-x+1/2,-y+1/2,z+1/2'
'-x+1/2,y+1/2,z+1/2'
'x+1/2,-y+1/2,z+1/2'
loop_
_atom_site_label
_atom_site_fract_x
_atom_site_fract_y
_atom_site_fract_z
Ni1 0.000 0.000 0.000
Pd1 0.000 0.500 0.460
Pt1 0.000 0.248 0.244
Pt2 0.000 0.500 0.098
Pt3 0.249 0.500 0.797
```

=====

[15]
The following is a DFT calculation (PBE) of a relaxed Ni6PdPt2 crystal.

Properties
magnetization: 0.5648 μB per atom
formation energy: -0.0472 eV per atom

Geometry as CIF:
```
data_Ni6PdPt2
_cell_length_a 7.770
_cell_length_b 7.770
_cell_length_c 3.750
_cell_angle_alpha 90.00
_cell_angle_beta 90.00
_cell_angle_gamma 90.00
_symmetry_space_group_name_H-M 'P 42/m n m'
_symmetry_Int_Tables_number 136
_symmetry_space_group_name_Hall '-P 4n 2n'
loop_
_atom_site_label
_atom_site_fract_x
_atom_site_fract_y
_atom_site_fract_z
Ni1 0.007 0.342 0.000
Ni2 0.165 0.835 0.500
Pd1 0.000 0.000 0.000
Pt1 0.177 0.177 0.500
```

=====

[16]
The following is a DFT calculation (PBE) of a relaxed Ni3Pd2Pt3 crystal.

Properties
magnetization: 0.5045 μB per atom
formation energy: -0.0225 eV per atom

Geometry as CIF:
```
data_Ni3Pd2Pt3
_cell_length_a 5.384
_cell_length_b 10.902
_cell_length_c 4.651
_cell_angle_alpha 90.00
_cell_angle_beta 124.49
_cell_angle_gamma 90.00
_symmetry_space_group_name_H-M 'C 1 2/m 1'
_symmetry_Int_Tables_number 12
loop_
_symmetry_equiv_pos_as_xyz
'x,y,z'
'-x,-y,-z'
'-x,y,-z'
'x,-y,z'
'x+1/2,y+1/2,z'
'-x+1/2,-y+1/2,-z'
'-x+1/2,y+1/2,-z'
'x+1/2,-y+1/2,z'
loop_
_atom_site_label
_atom_site_fract_x
_atom_site_fract_y
_atom_site_fract_z
Ni1 0.000 0.000 0.000
Ni2 0.000 0.379 0.500
Pd1 0.000 0.248 0.000
Pt1 0.000 0.124 0.500
Pt2 0.000 0.500 0.000
```

=====

[17]
The following is a DFT calculation (PBE) of a relaxed Ni4PdPt5 crystal.

Properties
magnetization: 0.4831 μB per atom
formation energy: 0.1421 eV per atom

Geometry as CIF:
```
data_Ni4PdPt5
_cell_length_a 7.876
_cell_length_b 8.615
_cell_length_c 4.610
_cell_angle_alpha 90.00
_cell_angle_beta 90.00
_cell_angle_gamma 90.00
_symmetry_space_group_name_H-M 'P m m n'
_symmetry_Int_Tables_number 59
loop_
_symmetry_equiv_pos_as_xyz
'x,y,z'
'-x,-y,-z'
'-x+1/2,-y+1/2,z'
'x+1/2,y+1/2,-z'
'x+1/2,-y,-z'
'-x+1/2,y,z'
'-x,y+1/2,-z'
'x,-y+1/2,z'
loop_
_atom_site_label
_atom_site_fract_x
_atom_site_fract_y
_atom_site_fract_z
Ni1 0.088 0.250 0.075
Ni2 0.250 0.006 0.252
Pd1 0.250 0.750 0.966
Pt1 0.079 0.503 0.748
Pt2 0.250 0.250 0.567
```

=====

[18]
The following is a DFT calculation (PBE) of a relaxed Ni6PdPt2 crystal.

Properties
magnetization: 0.5393 μB per atom
formation energy: 0.2094 eV per atom

Geometry as CIF:
```
data_Ni6PdPt2
_cell_length_a 8.355
_cell_length_b 4.818
_cell_length_c 5.863
_cell_angle_alpha 90.00
_cell_angle_beta 90.01
_cell_angle_gamma 90.00
_symmetry_space_group_name_H-M 'C 1 2/m 1'
_symmetry_Int_Tables_number 12
loop_
_symmetry_equiv_pos_as_xyz
'x,y,z'
'-x,-y,-z'
'-x,y,-z'
'x,-y,z'
'x+1/2,y+1/2,z'
'-x+1/2,-y+1/2,-z'
'-x+1/2,y+1/2,-z'
'x+1/2,-y+1/2,z'
loop_
_atom_site_label
_atom_site_fract_x
_atom_site_fract_y
_atom_site_fract_z
Ni1 0.086 0.242 0.161
Ni2 0.173 0.500 0.837
Pd1 0.000 0.500 0.500
Pt1 0.167 0.000 0.603
```

=====

[19]
The following is a DFT calculation (PBE) of a relaxed Ni4Pd3Pt2 crystal.

Properties
magnetization: 0.5396 μB per atom
formation energy: -0.0225 eV per atom

Geometry as CIF:
```
data_Ni4Pd3Pt2
_cell_length_a 8.298
_cell_length_b 3.843
_cell_length_c 8.004
_cell_angle_alpha 90.00
_cell_angle_beta 105.91
_cell_angle_gamma 90.00
_symmetry_space_group_name_H-M 'C 1 2/m 1'
_symmetry_Int_Tables_number 12
loop_
_symmetry_equiv_pos_as_xyz
'x,y,z'
'-x,-y,-z'
'-x,y,-z'
'x,-y,z'
'x+1/2,y+1/2,z'
'-x+1/2,-y+1/2,-z'
'-x+1/2,y+1/2,-z'
'x+1/2,-y+1/2,z'
loop_
_atom_site_label
_atom_site_fract_x
_atom_site_fract_y
_atom_site_fract_z
Ni1 0.001 0.000 0.169
Ni2 0.166 0.500 0.389
Pd1 0.000 0.000 0.500
Pd2 0.165 0.500 0.061
Pt1 0.168 0.500 0.717
```

=====

[20]
The following is a DFT calculation (PBE) of a relaxed NiPd5Pt6 crystal.

Properties
magnetization: 0.2170 μB per atom
formation energy: -0.0363 eV per atom

Geometry as CIF:
```
data_NiPd5Pt6
_cell_length_a 3.917
_cell_length_b 7.892
_cell_length_c 11.810
_cell_angle_alpha 90.00
_cell_angle_beta 90.00
_cell_angle_gamma 90.00
_symmetry_space_group_name_H-M 'I m m m'
_symmetry_Int_Tables_number 71
_symmetry_space_group_name_Hall '-I 2 2'
loop_
_atom_site_label
_atom_site_fract_x
_atom_site_fract_y
_atom_site_fract_z
Ni1 0.000 0.000 0.000
Pd1 0.000 0.000 0.335
Pd2 0.000 0.500 0.000
Pd3 0.000 0.500 0.335
Pt1 0.000 0.246 0.165
Pt2 0.000 0.258 0.500
```

=====

[21]
The following is a DFT calculation (PBE) of a relaxed Ni12PdPt6 crystal.

Properties
magnetization: 0.5686 μB per atom
formation energy: 0.2428 eV per atom

Geometry as CIF:
```
data_Ni12PdPt6
_cell_length_a 10.9015
_cell_length_b 10.9015
_cell_length_c 7.9012
_cell_angle_alpha 90.00
_cell_angle_beta 90.00
_cell_angle_gamma 120.00
_symmetry_space_group_name_H-M 'R -3 m'
_symmetry_Int_Tables_number 166
_symmetry_space_group_name_Hall '-R 3 2"'
loop_
_atom_site_label
_atom_site_fract_x
_atom_site_fract_y
_atom_site_fract_z
Ni1 0.0000 0.3910 0.0000
Ni2 0.0783 0.1566 0.7590
Pd1 0.0000 0.0000 0.5000
Pt1 0.0678 0.5339 0.7312
```